[1]
The following is a PBE calculation of a geometry-optimized LaHgIr2 structure, from Alexandria.

- magnetic moment (μB/atom) = 0.13
- energy of formation (eV/atom) = 0.196
- space group = F-43m (216)

a = 4.881 Å, b = 4.881 Å, c = 4.881 Å
α = 60.00°, β = 60.00°, γ = 60.00°
Fractional coordinates of all 4 atoms:
La 0.000 0.000 0.000
Hg 0.750 0.750 0.750
Ir 0.250 0.250 0.250
Ir 0.500 0.500 0.500

---

[2]
The following is a PBE calculation of a geometry-optimized RbSr2Ga2 structure, from Alexandria.

- magnetic moment (μB/atom) = 0.00
- energy of formation (eV/atom) = -0.127
- space group = I4/mmm (139)
- excess energy over the best structure of this formula in the dataset (eV per formula unit) = 0.081

a = 6.834 Å, b = 6.834 Å, c = 6.834 Å
α = 128.12°, β = 128.12°, γ = 76.43°
Fractional coordinates of all 5 atoms:
Rb 0.000 0.000 0.000
Sr 0.250 0.750 0.500
Sr 0.750 0.250 0.500
Ga 0.386 0.386 0.000
Ga 0.614 0.614 0.000